# CsZrMnSe3 GGA-PBE optimized geometry
data_CsZrMnSe3
_cell_length_a 9.520
_cell_length_b 4.021
_cell_length_c 10.222
_cell_angle_alpha 90.00
_cell_angle_beta 115.80
_cell_angle_gamma 90.00
_symmetry_space_group_name_H-M 'P 1 21/m 1'
_symmetry_Int_Tables_number 11
_symmetry_space_group_name_Hall '-P 2yb'
loop_
_atom_site_label
_atom_site_type_symbol
_atom_site_fract_x
_atom_site_fract_y
_atom_site_fract_z
Cs1 Cs 0.223 0.250 0.254
Zr1 Zr 0.331 0.750 0.855
Mn1 Mn 0.087 0.250 0.614
Se1 Se 0.136 0.250 0.870
Se2 Se 0.209 0.750 0.554
Se3 Se 0.474 0.750 0.152
# Formation energy without anion corrections, eV per formula unit: -6.6

***

# Ba2ReW GGA-PBE optimized geometry
data_Ba2ReW
_cell_length_a 5.925
_cell_length_b 11.365
_cell_length_c 2.971
_cell_angle_alpha 90.00
_cell_angle_beta 90.00
_cell_angle_gamma 90.00
_symmetry_space_group_name_H-M 'C m m m'
_symmetry_Int_Tables_number 65
_symmetry_space_group_name_Hall '-C 2 2'
loop_
_atom_site_label
_atom_site_type_symbol
_atom_site_fract_x
_atom_site_fract_y
_atom_site_fract_z
Ba1 Ba 0.250 0.250 0.000
Re1 Re 0.000 0.000 0.500
W1 W 0.000 0.500 0.500
# Energy above the lowest structure with this stoichiometry, meV per atom: 1088.0
# Energy of formation from the pure elements, kcal/mol of atoms: 38.27

***

# ScCd2F6 GGA-PBE optimized geometry
data_ScCd2F6
_cell_length_a 5.307
_cell_length_b 5.307
_cell_length_c 10.403
_cell_angle_alpha 90.00
_cell_angle_beta 90.00
_cell_angle_gamma 90.00
_symmetry_space_group_name_H-M 'P 42/m n m'
_symmetry_Int_Tables_number 136
_symmetry_space_group_name_Hall '-P 4n 2n'
loop_
_atom_site_label
_atom_site_type_symbol
_atom_site_fract_x
_atom_site_fract_y
_atom_site_fract_z
Sc1 Sc 0.000 0.000 0.000
Cd1 Cd 0.000 0.000 0.338
F1 F 0.183 0.183 0.148
F2 F 0.228 0.228 0.500
# Formation energy without anion corrections, eV per formula unit: -24.6

***

# Cd2TeRh GGA-PBE optimized geometry
data_Cd2TeRh
_cell_length_a 9.790
_cell_length_b 3.165
_cell_length_c 6.711
_cell_angle_alpha 90.00
_cell_angle_beta 111.20
_cell_angle_gamma 90.00
_symmetry_space_group_name_H-M 'C 1 m 1'
_symmetry_Int_Tables_number 8
_symmetry_space_group_name_Hall 'C -2y'
loop_
_atom_site_label
_atom_site_type_symbol
_atom_site_fract_x
_atom_site_fract_y
_atom_site_fract_z
Cd1 Cd 0.000 0.000 0.000
Cd2 Cd 0.195 0.000 0.715
Te1 Te 0.342 0.500 0.304
Rh1 Rh 0.447 0.000 0.635
# Formation energy without anion corrections, eV per formula unit: -0.6

***

# SmScO GGA-PBE optimized geometry
data_SmScO
_cell_length_a 5.995
_cell_length_b 5.995
_cell_length_c 5.995
_cell_angle_alpha 90.00
_cell_angle_beta 90.00
_cell_angle_gamma 90.00
_symmetry_space_group_name_H-M 'P 21 3'
_symmetry_Int_Tables_number 198
_symmetry_space_group_name_Hall 'P 2ac 2ab 3'
loop_
_atom_site_label
_atom_site_type_symbol
_atom_site_fract_x
_atom_site_fract_y
_atom_site_fract_z
Sm1 Sm 0.082 0.418 0.582
Sc1 Sc 0.102 0.898 0.398
O1 O 0.198 0.198 0.198
# Energy above the lowest structure with this stoichiometry, meV per atom: 254.3
# Formation energy without anion corrections, eV per formula unit: -4.5

***

# AsHPb2 GGA-PBE optimized geometry
data_AsHPb2
_cell_length_a 7.133
_cell_length_b 7.133
_cell_length_c 7.133
_cell_angle_alpha 90.00
_cell_angle_beta 90.00
_cell_angle_gamma 90.00
_symmetry_space_group_name_H-M 'F m -3 m'
_symmetry_Int_Tables_number 225
_symmetry_space_group_name_Hall '-F 4 2 3'
loop_
_atom_site_label
_atom_site_type_symbol
_atom_site_fract_x
_atom_site_fract_y
_atom_site_fract_z
As1 As 0.000 0.000 0.000
H1 H 0.000 0.000 0.500
Pb1 Pb 0.250 0.250 0.250
# Energy above the lowest structure with this stoichiometry, meV per atom: 91.1

***

# MgHg5 GGA-PBE optimized geometry
data_MgHg5
_cell_length_a 11.269
_cell_length_b 3.682
_cell_length_c 7.376
_cell_angle_alpha 90.00
_cell_angle_beta 101.78
_cell_angle_gamma 90.00
_symmetry_space_group_name_H-M 'C 1 m 1'
_symmetry_Int_Tables_number 8
_symmetry_space_group_name_Hall 'C -2y'
loop_
_atom_site_label
_atom_site_type_symbol
_atom_site_fract_x
_atom_site_fract_y
_atom_site_fract_z
Mg1 Mg 0.000 0.000 0.000
Hg1 Hg 0.088 0.500 0.746
Hg2 Hg 0.155 0.500 0.274
Hg3 Hg 0.289 0.000 0.623
Hg4 Hg 0.304 0.000 0.052
Hg5 Hg 0.452 0.500 0.409
# Energy of formation from the pure elements, kcal/mol of atoms: -0.98

***

# HfGe2BF GGA-PBE optimized geometry
data_HfGe2BF
_cell_length_a 4.290
_cell_length_b 4.290
_cell_length_c 4.172
_cell_angle_alpha 90.00
_cell_angle_beta 90.00
_cell_angle_gamma 90.00
_symmetry_space_group_name_H-M 'P 4/m m m'
_symmetry_Int_Tables_number 123
_symmetry_space_group_name_Hall '-P 4 2'
loop_
_atom_site_label
_atom_site_type_symbol
_atom_site_fract_x
_atom_site_fract_y
_atom_site_fract_z
Hf1 Hf 0.000 0.000 0.000
Ge1 Ge 0.000 0.500 0.500
B1 B 0.500 0.500 0.500
F1 F 0.500 0.500 0.000
# Formation energy without anion corrections, eV per formula unit: 0.5

***

| no. | M_tot (Bohr magnetons per cell) |
| --- | --- |
| 1 | 8.1 |
| 2 | 0.0 |
| 3 | 0.0 |
| 4 | 0.0 |
| 5 | 0.0 |
| 6 | 0.0 |
| 7 | 0.0 |
| 8 | 0.0 |